1.
First-principles (PBE) data for CoNi2AgN after structural relaxation, as listed in the Alexandria database.

Its crystal system is tetragonal. The formation energy from raw total energies is 0.069 eV per atom. For the total magnetic moment, the calculation gives 1.9 μB/cell. The value obtained for the total energy is -5.90 eV per atom.

Geometry as extended XYZ:
```
5
Lattice="3.8549 0.0000 0.0000 0.0000 3.8549 0.0000 0.0000 0.0000 3.7809" Properties=species:S:1:pos:R:3 pbc="T T T"
Co 0.0000 0.0000 0.0000
Ni 0.0000 1.9274 1.8905
Ni 1.9274 0.0000 1.8905
Ag 1.9274 1.9274 0.0000
N 0.0000 0.0000 1.8905
```



2.
First-principles (PBE) data for Mn2NiPt after structural relaxation, as listed in the Alexandria database.

Its crystal system is tetragonal. For the total magnetic moment, the calculation gives 6.0 μB/cell. The value obtained for the calculated formation energy is 0.0 eV/f.u. The value obtained for the total energy is -7.54 eV per atom.

Geometry as extended XYZ:
```
4
Lattice="2.7715 0.0000 0.0000 0.0000 2.7715 0.0000 0.0000 0.0000 6.7542" Properties=species:S:1:pos:R:3 pbc="T T T"
Mn 0.0000 0.0000 0.0000
Mn 1.3858 1.3858 1.6593
Ni 0.0000 0.0000 3.1233
Pt 1.3858 1.3858 4.9750
```



Question: Look up the total magnetic moment of the second one.
Answer: 6.0 μB/cell



Question: What is the total magnetic moment in the first record?
Answer: 1.9 μB/cell



Question: Which of these has the highest total magnetic moment?
Answer: Mn2NiPt